## Pm2FeGeO6 (PBE+U)

Data for a relaxed Pm2FeGeO6 crystal.

Symmetry: P4mm
Crystal system: tetragonal
Calculated volume: 134.8 Å³ per cell
Uncorrected energy: -7.37 eV/atom

a = 4.7919 Å, b = 5.3030 Å, c = 5.3030 Å
α = 90.00°, β = 90.00°, γ = 90.00°
Closest atoms and distances in Å follow each position.
Fractional coordinates of all 10 atoms:
1 Pm 0.0152 0.5000 0.0000  4 O 2.35
2 Pm 0.0152 0.0000 0.5000  4 O 2.35
3 Fe 0.5599 0.5000 0.5000  5 O 1.95-2.12
4 Ge 0.5990 0.0000 0.0000  5 O 1.80-1.87
5 O 0.7202 0.2368 0.2368  1 Ge 1.87
6 O 0.7202 0.2368 0.7632  1 Ge 1.87
7 O 0.1530 0.5000 0.5000  1 Fe 1.95
8 O 0.2235 0.0000 0.0000  1 Ge 1.80
9 O 0.7202 0.7632 0.7632  1 Ge 1.87
10 O 0.7202 0.7632 0.2368  1 Ge 1.87